No. 1
Density functional theory data (PBE) for a relaxed structure of Zn2Ge3O8.

* symmetry: P4_332 (212)
* crystal system: cubic

a b c (Å): 8.236 8.236 8.236
angles (deg): 90.00 90.00 90.00
Fractional coordinates of all 52 atoms:
Zn 0.001 0.001 0.001
Zn 0.249 0.249 0.249
Zn 0.251 0.751 0.749
Zn 0.499 0.999 0.501
Zn 0.501 0.499 0.999
Zn 0.749 0.251 0.751
Zn 0.751 0.749 0.251
Zn 0.999 0.501 0.499
Ge 0.119 0.625 0.131
Ge 0.125 0.369 0.881
Ge 0.131 0.119 0.625
Ge 0.369 0.881 0.125
Ge 0.375 0.631 0.381
Ge 0.381 0.375 0.631
Ge 0.619 0.875 0.869
Ge 0.625 0.131 0.119
Ge 0.631 0.381 0.375
Ge 0.869 0.619 0.875
Ge 0.875 0.869 0.619
Ge 0.881 0.125 0.369
O 0.102 0.136 0.395
O 0.105 0.898 0.636
O 0.111 0.611 0.889
O 0.114 0.148 0.855
O 0.136 0.395 0.102
O 0.139 0.361 0.639
O 0.145 0.614 0.352
O 0.148 0.855 0.114
O 0.352 0.145 0.614
O 0.355 0.386 0.852
O 0.361 0.639 0.139
O 0.364 0.605 0.602
O 0.386 0.852 0.355
O 0.389 0.389 0.389
O 0.395 0.102 0.136
O 0.398 0.864 0.895
O 0.602 0.364 0.605
O 0.605 0.602 0.364
O 0.611 0.889 0.111
O 0.614 0.352 0.145
O 0.636 0.105 0.898
O 0.639 0.139 0.361
O 0.645 0.886 0.648
O 0.648 0.645 0.886
O 0.852 0.355 0.386
O 0.855 0.114 0.148
O 0.861 0.861 0.861
O 0.864 0.895 0.398
O 0.886 0.648 0.645
O 0.889 0.111 0.611
O 0.895 0.398 0.864
O 0.898 0.636 0.105

No. 2
Density functional theory data (PBE) for a relaxed structure of PmDyPO.

* symmetry: Pmc2_1 (26)
* crystal system: orthorhombic
* distance to the lowest polymorph of the same formula: 31.7 meV/atom

a b c (Å): 4.204 7.630 5.542
angles (deg): 90.00 90.00 90.00
Fractional coordinates of all 8 atoms:
Pm 0.000 0.131 0.000
Pm 0.000 0.869 0.500
Dy 0.500 0.294 0.473
Dy 0.500 0.706 0.973
P 0.500 0.351 0.972
P 0.500 0.649 0.472
O 0.000 0.177 0.445
O 0.000 0.823 0.945

No. 3
Density functional theory data (PBE) for a relaxed structure of HoTlTe3Pt.

* symmetry: P2_1/m (11)
* crystal system: monoclinic
* distance to the lowest polymorph of the same formula: 20.5 meV/atom

a b c (Å): 8.885 4.149 11.037
angles (deg): 90.00 111.75 90.00
Fractional coordinates of all 12 atoms:
Ho 0.197 0.250 0.153
Ho 0.803 0.750 0.847
Tl 0.228 0.750 0.704
Tl 0.772 0.250 0.296
Te 0.064 0.250 0.859
Te 0.289 0.250 0.466
Te 0.452 0.750 0.151
Te 0.548 0.250 0.849
Te 0.711 0.750 0.534
Te 0.936 0.750 0.141
Pt 0.396 0.750 0.372
Pt 0.604 0.250 0.628

No. 4
Density functional theory data (PBE) for a relaxed structure of AcIrNO.

* symmetry: Pmc2_1 (26)
* crystal system: orthorhombic
* distance to the lowest polymorph of the same formula: 177.8 meV/atom

a b c (Å): 4.770 7.136 4.801
angles (deg): 90.00 90.00 90.00
Fractional coordinates of all 8 atoms:
Ac 0.000 0.211 0.000
Ac 0.000 0.789 0.500
Ir 0.500 0.425 0.489
Ir 0.500 0.575 0.989
N 0.500 0.326 0.854
N 0.500 0.674 0.354
O 0.000 0.119 0.494
O 0.000 0.881 0.994

No. 5
Density functional theory data (PBE) for a relaxed structure of LaPr2Ni8Pt.

* symmetry: R-3m (166)
* crystal system: trigonal
* E_form: -0.406 eV per atom

a b c (Å): 8.948 8.948 8.948
angles (deg): 33.07 33.07 33.07
Fractional coordinates of all 12 atoms:
La 0.000 0.000 0.000
Pr 0.136 0.136 0.136
Pr 0.864 0.864 0.864
Ni 0.077 0.580 0.580
Ni 0.333 0.333 0.333
Ni 0.420 0.420 0.923
Ni 0.420 0.923 0.420
Ni 0.580 0.077 0.580
Ni 0.580 0.580 0.077
Ni 0.667 0.667 0.667
Ni 0.923 0.420 0.420
Pt 0.500 0.500 0.500

No. 6
Density functional theory data (PBE) for a relaxed structure of TlAg17.

* symmetry: P-3m1 (164)
* crystal system: trigonal

a b c (Å): 5.804 5.804 32.392
angles (deg): 90.00 90.00 120.00
Fractional coordinates of all 36 atoms:
Tl 0.333 0.667 0.317
Tl 0.667 0.333 0.683
Ag 0.000 0.000 0.000
Ag 0.000 0.000 0.222
Ag 0.000 0.000 0.778
Ag 0.000 0.500 0.000
Ag 0.002 0.501 0.222
Ag 0.167 0.333 0.148
Ag 0.167 0.333 0.703
Ag 0.167 0.333 0.926
Ag 0.167 0.833 0.148
Ag 0.167 0.833 0.703
Ag 0.167 0.833 0.926
Ag 0.333 0.167 0.074
Ag 0.333 0.167 0.297
Ag 0.333 0.167 0.852
Ag 0.333 0.667 0.074
Ag 0.333 0.667 0.852
Ag 0.499 0.501 0.222
Ag 0.499 0.998 0.222
Ag 0.500 0.000 0.000
Ag 0.500 0.500 0.000
Ag 0.501 0.002 0.778
Ag 0.501 0.499 0.778
Ag 0.667 0.333 0.148
Ag 0.667 0.333 0.926
Ag 0.667 0.833 0.148
Ag 0.667 0.833 0.703
Ag 0.667 0.833 0.926
Ag 0.833 0.167 0.074
Ag 0.833 0.167 0.297
Ag 0.833 0.167 0.852
Ag 0.833 0.667 0.074
Ag 0.833 0.667 0.297
Ag 0.833 0.667 0.852
Ag 0.998 0.499 0.778

No. 7
Density functional theory data (PBE) for a relaxed structure of HfFeGePt.

* symmetry: F-43m (216)
* crystal system: cubic
* distance to the lowest polymorph of the same formula: 0.0 meV/atom

a b c (Å): 4.465 4.465 4.465
angles (deg): 60.00 60.00 60.00
Fractional coordinates of all 4 atoms:
Hf 0.000 0.000 0.000
Fe 0.750 0.750 0.750
Ge 0.500 0.500 0.500
Pt 0.250 0.250 0.250

No. 8
Density functional theory data (PBE) for a relaxed structure of TmMgInTe3.

* symmetry: Cmcm (63)
* crystal system: orthorhombic

a b c (Å): 7.949 7.949 11.612
angles (deg): 90.00 90.00 147.73
Fractional coordinates of all 12 atoms:
Tm 0.000 0.000 0.000
Tm 0.000 0.000 0.500
Mg 0.462 0.538 0.750
Mg 0.538 0.462 0.250
In 0.244 0.756 0.250
In 0.756 0.244 0.750
Te 0.076 0.924 0.750
Te 0.364 0.636 0.550
Te 0.364 0.636 0.950
Te 0.636 0.364 0.050
Te 0.636 0.364 0.450
Te 0.924 0.076 0.250

No. 9
Density functional theory data (PBE) for a relaxed structure of HfNiP.

* symmetry: Pnma (62)
* crystal system: orthorhombic

a b c (Å): 6.289 3.697 7.142
angles (deg): 90.00 90.00 90.00
Fractional coordinates of all 12 atoms:
Hf 0.021 0.250 0.182
Hf 0.479 0.750 0.682
Hf 0.521 0.250 0.318
Hf 0.979 0.750 0.818
Ni 0.153 0.250 0.566
Ni 0.347 0.750 0.066
Ni 0.653 0.250 0.934
Ni 0.847 0.750 0.434
P 0.224 0.750 0.386
P 0.276 0.250 0.886
P 0.724 0.750 0.114
P 0.776 0.250 0.614

No. 10
Density functional theory data (PBE) for a relaxed structure of HoScPbC.

* symmetry: P-3m1 (164)
* crystal system: trigonal
* distance to the lowest polymorph of the same formula: 2.4 meV/atom

a b c (Å): 3.511 3.511 15.625
angles (deg): 90.00 90.00 120.00
Fractional coordinates of all 8 atoms:
Ho 0.333 0.667 0.086
Ho 0.667 0.333 0.914
Sc 0.333 0.667 0.425
Sc 0.667 0.333 0.575
Pb 0.333 0.667 0.739
Pb 0.667 0.333 0.261
C 0.000 0.000 0.000
C 0.000 0.000 0.500

Number 1: final energy -5.89 eV per atom. Number 2: final energy -6.91 eV per atom. Number 3: final energy -4.43 eV per atom. Number 4: final energy -7.62 eV per atom. Number 5: final energy -5.83 eV per atom. Number 6: final energy -2.74 eV per atom. Number 7: final energy -7.67 eV per atom. Number 8: final energy -3.91 eV per atom. Number 9: final energy -8.04 eV per atom. Number 10: final energy -6.50 eV per atom.